BaP2Au after structural relaxation. Source: Alexandria, functional PBE.

```
data_BaP2Au
_cell_length_a 4.932
_cell_length_b 5.103
_cell_length_c 7.267
_cell_angle_alpha 90.00
_cell_angle_beta 90.00
_cell_angle_gamma 90.00
_symmetry_space_group_name_H-M 'C m m 2'
_symmetry_Int_Tables_number 35
loop_
_symmetry_equiv_pos_as_xyz
'x,y,z'
'-x,-y,z'
'-x,y,z'
'x,-y,z'
'x+1/2,y+1/2,z'
'-x+1/2,-y+1/2,z'
'-x+1/2,y+1/2,z'
'x+1/2,-y+1/2,z'
loop_
_atom_site_label
_atom_site_type_symbol
_atom_site_fract_x
_atom_site_fract_y
_atom_site_fract_z
_atom_site_occupancy
Ba1 Ba 0.000 0.000 0.000 1
P1 P 0.000 0.000 0.555 1
P2 P 0.000 0.500 0.648 1
Au1 Au 0.000 0.500 0.290 1
```

The total energy comes out at -16.4 eV/f.u. As for the volume: 22.86 Å³/atom. The calculation puts the calculated formation energy at -38 kJ/mol of formula units. As for the density of states at the Fermi level: 0.38 states/eV/atom.

***

TiNbP2 after structural relaxation. Source: Alexandria, functional PBE.

```
data_TiNbP2
_cell_length_a 3.3604
_cell_length_b 3.3604
_cell_length_c 6.4960
_cell_angle_alpha 90.00
_cell_angle_beta 90.00
_cell_angle_gamma 120.00
_symmetry_space_group_name_H-M 'P -3 m 1'
_symmetry_Int_Tables_number 164
_symmetry_space_group_name_Hall '-P 3 2"'
loop_
_atom_site_label
_atom_site_type_symbol
_atom_site_fract_x
_atom_site_fract_y
_atom_site_fract_z
_atom_site_occupancy
Ti1 Ti 0.0000 0.0000 0.0000 1
Nb1 Nb 0.0000 0.0000 0.5000 1
P1 P 0.3333 0.6667 0.2442 1
```

The total energy comes out at -32.8 eV/f.u. As for the volume: 15.88 Å³/atom. The calculation puts the calculated formation energy at -388 kJ/mol of formula units. As for the density of states at the Fermi level: 0.83 states/eV/atom.

***

KNaAg2Ge after structural relaxation. Source: Alexandria, functional PBE.

```
data_KNaAg2Ge
_cell_length_a 5.065
_cell_length_b 5.065
_cell_length_c 5.564
_cell_angle_alpha 90.00
_cell_angle_beta 90.00
_cell_angle_gamma 90.00
_symmetry_space_group_name_H-M 'P 4/m m m'
_symmetry_Int_Tables_number 123
_symmetry_space_group_name_Hall '-P 4 2'
loop_
_atom_site_label
_atom_site_type_symbol
_atom_site_fract_x
_atom_site_fract_y
_atom_site_fract_z
_atom_site_occupancy
K1 K 0.000 0.000 0.000 1
Na1 Na 0.500 0.500 0.000 1
Ag1 Ag 0.000 0.500 0.500 1
Ge1 Ge 0.500 0.500 0.500 1
```

The total energy comes out at -12.7 eV/f.u. As for the volume: 28.54 Å³/atom. The calculation puts the calculated formation energy at 5 kJ/mol of formula units. As for the density of states at the Fermi level: 0.12 states/eV/atom.

***

BaAlAu after structural relaxation. Source: Alexandria, functional PBE.

```
data_BaAlAu
_cell_length_a 7.051
_cell_length_b 7.051
_cell_length_c 7.051
_cell_angle_alpha 90.00
_cell_angle_beta 90.00
_cell_angle_gamma 90.00
_symmetry_space_group_name_H-M 'P 21 3'
_symmetry_Int_Tables_number 198
_symmetry_space_group_name_Hall 'P 2ac 2ab 3'
loop_
_atom_site_label
_atom_site_type_symbol
_atom_site_fract_x
_atom_site_fract_y
_atom_site_fract_z
_atom_site_occupancy
Ba1 Ba 0.140 0.140 0.140 1
Al1 Al 0.157 0.343 0.657 1
Au1 Au 0.087 0.587 0.913 1
```

The total energy comes out at -10.8 eV/f.u. As for the volume: 29.21 Å³/atom. The calculation puts the calculated formation energy at -178 kJ/mol of formula units. As for the density of states at the Fermi level: 0.45 states/eV/atom.

***

Li2BeOs after structural relaxation. Source: Alexandria, functional PBE.

```
data_Li2BeOs
_cell_length_a 3.045
_cell_length_b 3.045
_cell_length_c 5.563
_cell_angle_alpha 90.00
_cell_angle_beta 90.00
_cell_angle_gamma 90.00
_symmetry_space_group_name_H-M 'P 4 m m'
_symmetry_Int_Tables_number 99
loop_
_symmetry_equiv_pos_as_xyz
'x,y,z'
'-y,x,z'
'-x,-y,z'
'y,-x,z'
'-x,y,z'
'y,x,z'
'x,-y,z'
'-y,-x,z'
loop_
_atom_site_label
_atom_site_type_symbol
_atom_site_fract_x
_atom_site_fract_y
_atom_site_fract_z
_atom_site_occupancy
Li1 Li 0.000 0.000 0.000 1
Li2 Li 0.500 0.500 0.276 1
Be1 Be 0.500 0.500 0.685 1
Os1 Os 0.000 0.000 0.544 1
```

The total energy comes out at -18.2 eV/f.u. As for the volume: 12.90 Å³/atom. The calculation puts the calculated formation energy at 60 kJ/mol of formula units. As for the density of states at the Fermi level: 0.44 states/eV/atom.

***

Dy2ScGa after structural relaxation. Source: Alexandria, functional PBE.

```
data_Dy2ScGa
_cell_length_a 4.643
_cell_length_b 4.643
_cell_length_c 4.549
_cell_angle_alpha 90.00
_cell_angle_beta 90.00
_cell_angle_gamma 90.00
_symmetry_space_group_name_H-M 'P 4/m m m'
_symmetry_Int_Tables_number 123
_symmetry_space_group_name_Hall '-P 4 2'
loop_
_atom_site_label
_atom_site_type_symbol
_atom_site_fract_x
_atom_site_fract_y
_atom_site_fract_z
_atom_site_occupancy
Dy1 Dy 0.000 0.500 0.000 1
Sc1 Sc 0.000 0.000 0.500 1
Ga1 Ga 0.500 0.500 0.500 1
```

The total energy comes out at -19.6 eV/f.u. As for the volume: 24.52 Å³/atom. The calculation puts the calculated formation energy at -99 kJ/mol of formula units. As for the density of states at the Fermi level: 1.35 states/eV/atom.

***

In2CuHg2 after structural relaxation. Source: Alexandria, functional PBE.

```
data_In2CuHg2
_cell_length_a 7.151
_cell_length_b 7.151
_cell_length_c 4.808
_cell_angle_alpha 90.00
_cell_angle_beta 90.00
_cell_angle_gamma 90.00
_symmetry_space_group_name_H-M 'P 4/m b m'
_symmetry_Int_Tables_number 127
_symmetry_space_group_name_Hall '-P 4 2ab'
loop_
_atom_site_label
_atom_site_type_symbol
_atom_site_fract_x
_atom_site_fract_y
_atom_site_fract_z
_atom_site_occupancy
In1 In 0.162 0.338 0.000 1
Cu1 Cu 0.000 0.000 0.500 1
Hg1 Hg 0.157 0.657 0.500 1
```

The total energy comes out at -9.3 eV/f.u. As for the volume: 24.59 Å³/atom. The calculation puts the calculated formation energy at 84 kJ/mol of formula units. As for the density of states at the Fermi level: 0.40 states/eV/atom.

***

Ac6CeS12 after structural relaxation. Source: Alexandria, functional PBE.

```
data_Ac6CeS12
_cell_length_a 12.8910
_cell_length_b 12.8910
_cell_length_c 12.1160
_cell_angle_alpha 90.00
_cell_angle_beta 90.00
_cell_angle_gamma 120.00
_symmetry_space_group_name_H-M 'R -3'
_symmetry_Int_Tables_number 148
_symmetry_space_group_name_Hall '-R 3'
loop_
_atom_site_label
_atom_site_type_symbol
_atom_site_fract_x
_atom_site_fract_y
_atom_site_fract_z
_atom_site_occupancy
Ac1 Ac 0.0596 0.2705 0.1521 1
Ce1 Ce 0.0000 0.0000 0.5000 1
S1 S 0.0466 0.2256 0.9014 1
S2 S 0.0479 0.2051 0.3916 1
```

The total energy comes out at -116.6 eV/f.u. As for the volume: 30.59 Å³/atom. As for the density of states at the Fermi level: 0.66 states/eV/atom. The value obtained for the uncorrected formation energy is -1922 meV per atom.

***

Rb2NaLiCl after structural relaxation. Source: Alexandria, functional PBE.

```
data_Rb2NaLiCl
_cell_length_a 7.007
_cell_length_b 7.007
_cell_length_c 4.837
_cell_angle_alpha 90.00
_cell_angle_beta 90.00
_cell_angle_gamma 90.00
_symmetry_space_group_name_H-M 'P 4/m m m'
_symmetry_Int_Tables_number 123
_symmetry_space_group_name_Hall '-P 4 2'
loop_
_atom_site_label
_atom_site_type_symbol
_atom_site_fract_x
_atom_site_fract_y
_atom_site_fract_z
_atom_site_occupancy
Rb1 Rb 0.000 0.500 0.000 1
Na1 Na 0.000 0.000 0.500 1
Li1 Li 0.500 0.500 0.500 1
Cl1 Cl 0.500 0.500 0.000 1
```

The total energy comes out at -10.1 eV/f.u. As for the volume: 47.50 Å³/atom. As for the density of states at the Fermi level: 0.27 states/eV/atom. The value obtained for the uncorrected formation energy is -614 meV per atom.

***

KCuRhI6 after structural relaxation. Source: Alexandria, functional PBE.

```
data_KCuRhI6
_cell_length_a 7.1721
_cell_length_b 7.1721
_cell_length_c 7.9144
_cell_angle_alpha 90.00
_cell_angle_beta 90.00
_cell_angle_gamma 120.00
_symmetry_space_group_name_H-M 'P 3 1 2'
_symmetry_Int_Tables_number 149
loop_
_symmetry_equiv_pos_as_xyz
'x,y,z'
'-y,x-y,z'
'-x+y,-x,z'
'-y,-x,-z'
'-x+y,y,-z'
'x,x-y,-z'
loop_
_atom_site_label
_atom_site_type_symbol
_atom_site_fract_x
_atom_site_fract_y
_atom_site_fract_z
_atom_site_occupancy
K1 K 0.0000 0.0000 0.0000 1
Cu1 Cu 0.6667 0.3333 0.5000 1
Rh1 Rh 0.3333 0.6667 0.5000 1
I1 I 0.0106 0.3759 0.6957 1
```

The total energy comes out at -25.4 eV/f.u. As for the volume: 39.18 Å³/atom. As for the density of states at the Fermi level: 0.90 states/eV/atom. The value obtained for the uncorrected formation energy is -399 meV per atom.